Run 1
Computed, not measured: an optimized crystal structure of Ta2ZnTe at the PBE level of DFT.

Lattice parameters (Å, degrees): 3.034 4.914 5.375 90.00 103.33 90.00
Fractional positions:
Ta: 0.000 0.000 0.000
Ta: 0.303 0.500 0.767
Zn: 0.625 0.000 0.498
Te: 0.001 0.500 0.232


Run 2
Computed, not measured: an optimized crystal structure of Ta2ZnTe at the PBE level of DFT.

Lattice parameters (Å, degrees): 4.883 4.883 4.883 126.19 126.19 79.58
Fractional positions:
Ta: 0.250 0.750 0.500
Ta: 0.750 0.250 0.500
Zn: 0.000 0.000 0.000
Te: 0.500 0.500 0.000


Run 3
Computed, not measured: an optimized crystal structure of Ta2ZnTe at the PBE level of DFT.

Lattice parameters (Å, degrees): 5.209 5.209 4.779 103.12 103.12 36.14
Fractional positions:
Ta: 0.000 0.000 0.000
Ta: 0.214 0.214 0.642
Zn: 0.735 0.735 0.136
Te: 0.476 0.476 0.485


Run 4
Computed, not measured: an optimized crystal structure of Ta2ZnTe at the PBE level of DFT.

Lattice parameters (Å, degrees): 3.453 4.506 4.784 90.00 90.00 90.00
Fractional positions:
Ta: 0.000 0.000 0.000
Ta: 0.500 0.000 0.500
Zn: 0.000 0.500 0.500
Te: 0.500 0.500 0.000


In kJ/mol of atoms, relative to the most stable structure: run 1 9.0; run 2 12.4; run 3 0.0; run 4 2.4.


Run 1
Computed, not measured: an optimized crystal structure of Ta2ZnTe at the PBE level of DFT.

Lattice parameters (Å, degrees): 9.167 9.167 9.167 20.68 20.68 20.68
Fractional positions:
Ta: 0.000 0.000 0.000
Ta: 0.258 0.258 0.258
Zn: 0.744 0.744 0.744
Te: 0.512 0.512 0.512


Run 2
Computed, not measured: an optimized crystal structure of Ta2ZnTe at the PBE level of DFT.

Lattice parameters (Å, degrees): 4.996 4.996 4.897 97.77 97.77 38.72
Fractional positions:
Ta: 0.249 0.249 0.234
Ta: 0.751 0.751 0.766
Zn: 0.500 0.500 0.000
Te: 0.000 0.000 0.500


Run 3
Computed, not measured: an optimized crystal structure of Ta2ZnTe at the PBE level of DFT.

Lattice parameters (Å, degrees): 4.742 4.742 3.327 90.00 90.00 101.22
Fractional positions:
Ta: 0.000 0.500 0.000
Ta: 0.500 0.000 0.000
Zn: 0.000 0.000 0.500
Te: 0.500 0.500 0.500


In kJ/mol of atoms, relative to the most stable structure: run 1 0.0; run 2 2.6; run 3 13.8.


Run 1
Computed, not measured: an optimized crystal structure of Ta2ZnTe at the PBE level of DFT.

Lattice parameters (Å, degrees): 4.683 4.683 4.683 60.00 60.00 60.00
Fractional positions:
Ta: 0.250 0.250 0.250
Ta: 0.750 0.750 0.750
Zn: 0.000 0.000 0.000
Te: 0.500 0.500 0.500


Run 2
Computed, not measured: an optimized crystal structure of Ta2ZnTe at the PBE level of DFT.

Lattice parameters (Å, degrees): 5.395 5.395 5.395 141.91 129.17 65.25
Fractional positions:
Ta: 0.000 0.000 0.000
Ta: 0.756 0.256 0.500
Zn: 0.508 0.508 0.000
Te: 0.249 0.749 0.500


Run 3
Computed, not measured: an optimized crystal structure of Ta2ZnTe at the PBE level of DFT.

Lattice parameters (Å, degrees): 4.229 4.229 4.117 90.00 90.00 90.00
Fractional positions:
Ta: 0.000 0.500 0.000
Ta: 0.500 0.000 0.000
Zn: 0.000 0.000 0.500
Te: 0.500 0.500 0.500


In kJ/mol of atoms, relative to the most stable structure: run 1 11.9; run 2 0.0; run 3 13.4.


Run 1
Computed, not measured: an optimized crystal structure of Ta2ZnTe at the PBE level of DFT.

Lattice parameters (Å, degrees): 3.465 3.465 6.144 90.00 90.00 90.00
Fractional positions:
Ta: 0.000 0.000 0.223
Ta: 0.000 0.000 0.777
Zn: 0.500 0.500 0.000
Te: 0.500 0.500 0.500


Run 2
Computed, not measured: an optimized crystal structure of Ta2ZnTe at the PBE level of DFT.

Lattice parameters (Å, degrees): 10.365 10.365 10.365 157.66 157.66 31.81
Fractional positions:
Ta: 0.113 0.625 0.988
Ta: 0.375 0.363 0.488
Ta: 0.637 0.125 0.012
Ta: 0.875 0.887 0.512
Zn: 0.000 0.000 0.000
Zn: 0.750 0.250 0.500
Te: 0.250 0.750 0.500
Te: 0.500 0.500 0.000


In kJ/mol of atoms, relative to the most stable structure: run 1 0.0; run 2 11.8.


Run 1
Computed, not measured: an optimized crystal structure of TaZn3Te at the PBE level of DFT.

Lattice parameters (Å, degrees): 5.088 5.088 5.088 90.00 90.00 90.00
Fractional positions:
Ta: 0.000 0.000 0.000
Zn: 0.000 0.000 0.500
Zn: 0.000 0.500 0.000
Zn: 0.500 0.000 0.000
Te: 0.500 0.500 0.500


Run 2
Computed, not measured: an optimized crystal structure of TaZn3Te at the PBE level of DFT.

Lattice parameters (Å, degrees): 5.076 5.076 5.076 90.00 90.00 90.00
Fractional positions:
Ta: 0.000 0.000 0.000
Zn: 0.000 0.500 0.500
Zn: 0.500 0.000 0.500
Zn: 0.500 0.500 0.000
Te: 0.500 0.500 0.500


In kJ/mol of atoms, relative to the most stable structure: run 1 0.0; run 2 44.6.


Run 1
Computed, not measured: an optimized crystal structure of ThTaTi2 at the PBE level of DFT.

Lattice parameters (Å, degrees): 3.457 3.457 7.033 90.00 90.00 90.00
Fractional positions:
Th: 0.000 0.000 0.000
Ta: 0.000 0.000 0.500
Ti: 0.500 0.500 0.299
Ti: 0.500 0.500 0.701


Run 2
Computed, not measured: an optimized crystal structure of ThTaTi2 at the PBE level of DFT.

Lattice parameters (Å, degrees): 4.851 4.851 4.851 60.00 60.00 60.00
Fractional positions:
Th: 0.000 0.000 0.000
Ta: 0.500 0.500 0.500
Ti: 0.250 0.250 0.250
Ti: 0.750 0.750 0.750


In kJ/mol of atoms, relative to the most stable structure: run 1 0.0; run 2 5.6.


Run 1
Computed, not measured: an optimized crystal structure of ThZr2Ta at the PBE level of DFT.

Lattice parameters (Å, degrees): 3.495 3.495 7.853 90.00 90.00 90.00
Fractional positions:
Th: 0.000 0.000 0.000
Zr: 0.500 0.500 0.292
Zr: 0.500 0.500 0.708
Ta: 0.000 0.000 0.500


Run 2
Computed, not measured: an optimized crystal structure of ThZr2Ta at the PBE level of DFT.

Lattice parameters (Å, degrees): 10.799 10.799 10.799 17.19 17.19 17.19
Fractional positions:
Th: 0.000 0.000 0.000
Zr: 0.242 0.242 0.242
Zr: 0.758 0.758 0.758
Ta: 0.500 0.500 0.500


In kJ/mol of atoms, relative to the most stable structure: run 1 0.0; run 2 12.8.


Run 1
Computed, not measured: an optimized crystal structure of Ta3Ti at the PBE level of DFT.

Lattice parameters (Å, degrees): 5.459 5.459 5.459 137.77 137.77 61.25
Fractional positions:
Ta: 0.000 0.000 0.000
Ta: 0.250 0.750 0.500
Ta: 0.750 0.250 0.500
Ti: 0.500 0.500 0.000


Run 2
Computed, not measured: an optimized crystal structure of Ta3Ti at the PBE level of DFT.

Lattice parameters (Å, degrees): 4.672 4.672 3.282 90.00 90.00 90.00
Fractional positions:
Ta: 0.000 0.000 0.000
Ta: 0.000 0.500 0.500
Ta: 0.500 0.000 0.500
Ti: 0.500 0.500 0.000


Run 3
Computed, not measured: an optimized crystal structure of Ta3Ti at the PBE level of DFT.

Lattice parameters (Å, degrees): 4.665 4.665 4.665 60.00 60.00 60.00
Fractional positions:
Ta: 0.000 0.000 0.000
Ta: 0.250 0.250 0.250
Ta: 0.750 0.750 0.750
Ti: 0.500 0.500 0.500


In kJ/mol of atoms, relative to the most stable structure: run 1 10.3; run 2 0.0; run 3 0.7.